Compound: CoPRh3
Source: Alexandria via LeMat-Bulk
Functional: PBE
Structure: relaxed

## Properties
The value obtained for the polymorph energy (0 for the lowest one) is 907 meV/atom. As for the formation energy: 1209.8 meV/atom. The total energy is -28.5 eV/f.u.

abc: 4.4336 4.4336 4.4336
angles: 90.00 90.00 90.00
Space group Pm-3m (No. 221)
Asymmetric unit:
Co 0.0000 0.0000 0.0000
P 0.5000 0.5000 0.5000
Rh 0.0000 0.0000 0.5000